(1)
Ni2Ge2Pd after structural relaxation, computed with PBE.

Values from the calculation:
Crystal system: monoclinic
Space group: Cm (8)
Offset from the most stable computed form in eV/f.u.: 0.05
Energy in eV per atom: -5.50
Energy relative to the elements in meV/atom: -306.9

abc: 5.6775 3.7309 13.2735
angles: 90.00 90.68 90.00
With the nearest neighbours (Å) after each atom.
Sites, in units of the cell vectors:
Ni (0.7415, 0.0000, 0.2342)  5 Ge 2.35-2.49
Ni (0.7415, 0.5000, 0.7342)  5 Ge 2.35-2.49
Ni (0.3957, 0.0000, 0.0961)  5 Ge 2.39-2.47, 2 Ni 2.66-2.67
Ni (0.3957, 0.5000, 0.5961)  5 Ge 2.39-2.47, 2 Ni 2.66-2.67
Ni (0.0546, 0.0000, 0.6278)  5 Ge 2.41-2.51
Ni (0.0546, 0.5000, 0.1278)  5 Ge 2.41-2.51
Ni (0.2429, 0.0000, 0.2850)  5 Ge 2.45-2.60, 1 Ni 2.66
Ni (0.2429, 0.5000, 0.7850)  5 Ge 2.45-2.60, 1 Ni 2.66
Ge (0.3149, 0.0000, 0.4792)  4 Ni 2.47-2.60, 3 Pd 2.48-2.49
Ge (0.3149, 0.5000, 0.9792)  4 Ni 2.47-2.60, 3 Pd 2.48-2.49
Ge (0.8199, 0.0000, 0.0608)  4 Ni 2.35-2.46, 2 Pd 2.56
Ge (0.8199, 0.5000, 0.5608)  4 Ni 2.35-2.46, 2 Pd 2.56
Ge (0.4592, 0.0000, 0.7057)  7 Ni 2.39-2.51, 1 Pd 2.54
Ge (0.4592, 0.5000, 0.2057)  7 Ni 2.39-2.51, 1 Pd 2.54
Ge (0.9671, 0.0000, 0.8048)  5 Ni 2.41-2.45, 2 Pd 2.56
Ge (0.9671, 0.5000, 0.3048)  5 Ni 2.41-2.45, 2 Pd 2.56
Pd (0.5259, 0.0000, 0.8954)  4 Ge 2.49-2.74, 1 Ni 2.77
Pd (0.5259, 0.5000, 0.3954)  4 Ge 2.49-2.74, 1 Ni 2.77
Pd (0.8914, 0.0000, 0.4326)  5 Ge 2.48-2.56, 2 Ni 2.74-2.76
Pd (0.8914, 0.5000, 0.9326)  5 Ge 2.48-2.56, 2 Ni 2.74-2.76

---

(2)
Ni2Ge2Pd after structural relaxation, computed with PBE.

Values from the calculation:
Crystal system: tetragonal
Space group: P4/mbm (127)
Offset from the most stable computed form in eV/f.u.: 0.12
Energy in eV per atom: -5.49
Energy relative to the elements in meV/atom: -294.5

abc: 6.8296 6.8296 2.9020
angles: 90.00 90.00 90.00
With the nearest neighbours (Å) after each atom.
Sites, in units of the cell vectors:
Ni (0.1368, 0.6368, 0.5000)  6 Ge 2.47, 1 Ni 2.64
Ni (0.6368, 0.8632, 0.5000)  6 Ge 2.47, 1 Ni 2.64
Ni (0.8632, 0.3632, 0.5000)  6 Ge 2.47, 1 Ni 2.64
Ni (0.3632, 0.1368, 0.5000)  6 Ge 2.47, 1 Ni 2.64
Ge (0.3439, 0.8439, 0.0000)  6 Ni 2.47, 2 Pd 2.58
Ge (0.8439, 0.6561, 0.0000)  6 Ni 2.47, 2 Pd 2.58
Ge (0.6561, 0.1561, 0.0000)  6 Ni 2.47, 2 Pd 2.58
Ge (0.1561, 0.3439, 0.0000)  6 Ni 2.47, 2 Pd 2.58
Pd (0.0000, 0.0000, 0.0000)  4 Ge 2.58
Pd (0.5000, 0.5000, 0.0000)  4 Ge 2.58

---

(3)
NiGePd after structural relaxation, computed with PBE.

Values from the calculation:
Crystal system: orthorhombic
Space group: Fddd (70)
Energy in eV per atom: -5.28
Energy relative to the elements in meV/atom: -83.8

abc: 5.9468 5.9468 7.0093
angles: 100.82 100.82 123.88
With the nearest neighbours (Å) after each atom.
Sites, in units of the cell vectors:
Pd (0.6250, 0.3750, 0.2500)  2 Ge 2.48, 4 Ni 2.65-2.72
Pd (0.1250, 0.3750, 0.7500)  2 Ge 2.48, 4 Ni 2.65-2.72
Pd (0.6250, 0.3750, 0.7500)  2 Ge 2.48, 4 Ni 2.65-2.72
Pd (0.6250, 0.8750, 0.2500)  2 Ge 2.48, 4 Ni 2.65-2.72
Ni (0.0648, 0.9352, 0.5000)  4 Ge 2.39-2.40, 2 Pd 2.65
Ni (0.8148, 0.1852, 0.0000)  4 Ge 2.39-2.40, 2 Pd 2.65
Ni (0.4352, 0.5648, 0.5000)  4 Ge 2.39-2.40, 2 Pd 2.65
Ni (0.1852, 0.8148, 0.0000)  4 Ge 2.39-2.40, 2 Pd 2.65
Ge (0.1409, 0.6409, 0.2817)  4 Ni 2.39-2.40, 2 Pd 2.48
Ge (0.1091, 0.1091, 0.2183)  4 Ni 2.39-2.40, 2 Pd 2.48
Ge (0.8909, 0.8909, 0.7817)  4 Ni 2.39-2.40, 2 Pd 2.48
Ge (0.3591, 0.8591, 0.7183)  4 Ni 2.39-2.40, 2 Pd 2.48

---

What did the second record say?
Ni2Ge2Pd after structural relaxation, computed with PBE.

Values from the calculation:
Crystal system: tetragonal
Space group: P4/mbm (127)
Offset from the most stable computed form in eV/f.u.: 0.12
Energy in eV per atom: -5.49
Energy relative to the elements in meV/atom: -294.5

abc: 6.8296 6.8296 2.9020
angles: 90.00 90.00 90.00
With the nearest neighbours (Å) after each atom.
Sites, in units of the cell vectors:
Ni (0.1368, 0.6368, 0.5000)  6 Ge 2.47, 1 Ni 2.64
Ni (0.6368, 0.8632, 0.5000)  6 Ge 2.47, 1 Ni 2.64
Ni (0.8632, 0.3632, 0.5000)  6 Ge 2.47, 1 Ni 2.64
Ni (0.3632, 0.1368, 0.5000)  6 Ge 2.47, 1 Ni 2.64
Ge (0.3439, 0.8439, 0.0000)  6 Ni 2.47, 2 Pd 2.58
Ge (0.8439, 0.6561, 0.0000)  6 Ni 2.47, 2 Pd 2.58
Ge (0.6561, 0.1561, 0.0000)  6 Ni 2.47, 2 Pd 2.58
Ge (0.1561, 0.3439, 0.0000)  6 Ni 2.47, 2 Pd 2.58
Pd (0.0000, 0.0000, 0.0000)  4 Ge 2.58
Pd (0.5000, 0.5000, 0.0000)  4 Ge 2.58